Record 1
13
Lattice="7.2724 -0.0059 -1.7323 -4.2164 5.9667 -1.5842 0.0945 0.1924 8.8559" Properties=species:S:1:pos:R:3 comment="PBE KSn4S8, optimized geometry" dos_at_fermi_per_ev_fu=3.5 total_energy_ry_per_atom=-0.3217 de_polymorph_mev_per_atom=0 sg="No. 12" raw_formation_energy_mev_per_atom=-521 pbc="T T T"
K -2.0609 3.0796 3.6358
Sn 0.7546 1.4718 -0.8189
Sn 2.3015 4.4890 -2.4976
Sn -1.3424 4.5051 -1.5628
Sn 4.4930 1.6481 7.1022
S 4.9107 0.1080 0.4470
S -0.8557 3.0514 0.5450
S 2.8225 3.0322 -0.3723
S 1.2809 0.0924 1.3464
S 1.8697 6.0608 4.1930
S 0.3280 3.1210 5.9117
S 4.0063 3.1018 4.9944
S -1.7601 6.0452 5.0923

=====

Record 2
3
Lattice="-4.6086 -2.3205 0.2644 -0.5315 -4.3922 2.6684 -2.6314 -0.0191 4.4463" Properties=species:S:1:pos:R:3 comment="PBE NaPmSb, optimized geometry" dos_at_fermi_per_ev_fu=2.0 total_energy_ry_per_atom=-0.2900 de_polymorph_mev_per_atom=0 sg="No. 216" raw_formation_energy_mev_per_atom=-548 pbc="T T T"
Sb -1.9429 -1.6830 1.8448
Na -3.8858 -3.3659 3.6895
Pm 0.0000 0.0000 0.0000

=====

Record 3
5
Lattice="4.2492 0.0000 0.0000 0.0000 4.2492 0.0000 0.0000 0.0000 4.2492" Properties=species:S:1:pos:R:3 comment="PBE YRe3O, optimized geometry" dos_at_fermi_per_ev_fu=6.1 total_energy_ry_per_atom=-0.6875 de_polymorph_mev_per_atom=0 sg="No. 221" raw_formation_energy_mev_per_atom=399 pbc="T T T"
Y 2.1246 2.1246 2.1246
Re 0.0000 2.1246 0.0000
Re 0.0000 0.0000 2.1246
Re 2.1246 0.0000 0.0000
O 0.0000 0.0000 0.0000

=====

Record 4
5
Lattice="4.8808 0.0000 0.0000 0.0000 4.8808 0.0000 0.0000 0.0000 4.8808" Properties=species:S:1:pos:R:3 comment="PBE HgGe3P, optimized geometry" dos_at_fermi_per_ev_fu=2.7 total_energy_ry_per_atom=-0.2455 e_form_ev_per_atom=0.57 de_polymorph_mev_per_atom=0 sg="No. 221" pbc="T T T"
P 0.0000 0.0000 0.0000
Ge 0.0000 2.4404 0.0000
Ge 0.0000 0.0000 2.4404
Ge 2.4404 0.0000 0.0000
Hg 2.4404 2.4404 2.4404

=====

Record 5
5
Lattice="3.2982 0.0000 0.0000 0.0000 3.2982 0.0000 1.6491 1.6491 9.0884" Properties=species:S:1:pos:R:3 comment="PBE Cd2OsS2, optimized geometry" dos_at_fermi_per_ev_fu=3.6 total_energy_ry_per_atom=-0.2644 de_polymorph_mev_per_atom=0 sg="No. 139" raw_formation_energy_mev_per_atom=665 pbc="T T T"
S 3.2982 1.6491 4.5442
S 1.6491 3.2982 4.5442
Os 0.0000 0.0000 0.0000
Cd 1.6491 1.6491 1.6112
Cd 3.2982 3.2982 7.4772

=====

Record 6
4
Lattice="0.0000 3.1162 3.1162 3.1162 0.0000 3.1162 3.1162 3.1162 0.0000" Properties=species:S:1:pos:R:3 comment="PBE FeOsSe2, optimized geometry" dos_at_fermi_per_ev_fu=3.6 total_energy_ry_per_atom=-0.4555 de_polymorph_mev_per_atom=483 sg="No. 225" raw_formation_energy_mev_per_atom=468 pbc="T T T"
Os 3.1162 3.1162 3.1162
Fe 0.0000 0.0000 0.0000
Se 1.5581 1.5581 1.5581
Se 4.6743 4.6743 4.6743